[1]
# RbV3I PBE relaxed
# M_tot = 2.58 μB per atom
# Crystal system = cubic
# Energy relative to the elements, uncorrected = 1.610 eV/atom
# Energy above the most stable polymorph in this dataset = 0.000 eV/atom
data_RbV3I
_space_group_name_H-M_alt 'P m -3 m'
_space_group_IT_number 221
_space_group_name_Hall '-P 4 2 3'
_cell_length_a 5.4825
_cell_length_b 5.4825
_cell_length_c 5.4825
_cell_angle_alpha 90.00
_cell_angle_beta 90.00
_cell_angle_gamma 90.00
loop_
_atom_site_label
_atom_site_type_symbol
_atom_site_fract_x
_atom_site_fract_y
_atom_site_fract_z
Rb1 Rb 0.0000 0.0000 0.0000
V1 V 0.0000 0.5000 0.5000
I1 I 0.5000 0.5000 0.5000

---

[2]
# BeSiW2 PBE relaxed
# M_tot = 0.00 μB per atom
# Crystal system = monoclinic
# Energy relative to the elements, uncorrected = 0.132 eV/atom
data_BeSiW2
_space_group_name_H-M_alt 'C 1 2/m 1'
_space_group_IT_number 12
_cell_length_a 8.8787
_cell_length_b 3.2177
_cell_length_c 4.3861
_cell_angle_alpha 90.00
_cell_angle_beta 119.32
_cell_angle_gamma 90.00
loop_
_space_group_symop_operation_xyz
'x,y,z'
'-x,-y,-z'
'-x,y,-z'
'x,-y,z'
'x+1/2,y+1/2,z'
'-x+1/2,-y+1/2,-z'
'-x+1/2,y+1/2,-z'
'x+1/2,-y+1/2,z'
loop_
_atom_site_label
_atom_site_type_symbol
_atom_site_fract_x
_atom_site_fract_y
_atom_site_fract_z
Be1 Be 0.0000 0.0000 0.0000
Si1 Si 0.0000 0.5000 0.5000
W1 W 0.2439 0.5000 0.2441

---

[3]
# PaP2IrRu2 PBE relaxed
# M_tot = 0.00 μB per atom
# ΔE_f = 98 meV per atom
# Crystal system = tetragonal
data_PaP2IrRu2
_space_group_name_H-M_alt 'P 4/m m m'
_space_group_IT_number 123
_space_group_name_Hall '-P 4 2'
_cell_length_a 4.5284
_cell_length_b 4.5284
_cell_length_c 5.2623
_cell_angle_alpha 90.00
_cell_angle_beta 90.00
_cell_angle_gamma 90.00
loop_
_atom_site_label
_atom_site_type_symbol
_atom_site_fract_x
_atom_site_fract_y
_atom_site_fract_z
Pa1 Pa 0.0000 0.0000 0.0000
P1 P 0.0000 0.5000 0.5000
Ir1 Ir 0.0000 0.0000 0.5000
Ru1 Ru 0.5000 0.5000 0.2404

---

We obtain DOS at the Fermi energy values of 8.2 4.9 5.0 states/eV per cell for the records listed above, in that order.